i) DFT (PBE) results for a relaxed structure of PrScNO.

Lattice parameters (Å, degrees): 3.912 4.825 6.899 90.00 90.00 90.00
Element x y z (fractional)
N (0.000, 0.938, 0.357)
Pr (0.500, 0.939, 0.166)
Pr (0.500, 0.439, 0.834)
N (0.000, 0.438, 0.643)
O (0.500, 0.439, 0.218)
Sc (0.000, 0.939, 0.654)
Sc (0.000, 0.439, 0.346)
O (0.500, 0.939, 0.782)

Output
Volume   16.3 Å³/atom


ii) DFT (PBE) results for a relaxed structure of PrScNO.

Lattice parameters (Å, degrees): 4.203 4.203 8.345 90.00 90.00 90.00
Element x y z (fractional)
Sc (0.750, 0.250, 0.499)
O (0.250, 0.750, 0.998)
O (0.750, 0.250, 0.998)
Sc (0.250, 0.750, 0.499)
Pr (0.750, 0.750, 0.132)
N (0.250, 0.250, 0.567)
Pr (0.250, 0.250, 0.869)
N (0.750, 0.750, 0.438)

Output
Volume   18.4 Å³/atom


ii) takes first place; second place is 0.008 eV/atom up.


i) DFT (PBE) results for a relaxed structure of PrSiNO.

Lattice parameters (Å, degrees): 3.849 5.055 5.380 90.00 90.00 90.00
Element x y z (fractional)
Pr (0.500, 0.250, 0.499)
N (0.000, 0.499, 0.748)
O (0.500, 0.232, 0.000)
Pr (0.500, 0.750, 0.999)
Si (0.000, 0.266, 0.999)
Si (0.000, 0.734, 0.499)
O (0.500, 0.768, 0.500)
N (0.000, 0.501, 0.248)

Output
Volume   13.1 Å³/atom


ii) DFT (PBE) results for a relaxed structure of PrSiNO.

Lattice parameters (Å, degrees): 3.322 5.296 6.222 90.00 90.00 90.00
Element x y z (fractional)
Pr (0.000, 0.816, 0.541)
O (0.500, 0.117, 0.732)
Pr (0.000, 0.184, 0.041)
N (0.000, 0.310, 0.429)
O (0.500, 0.883, 0.232)
Si (0.500, 0.643, 0.044)
N (0.000, 0.690, 0.929)
Si (0.500, 0.357, 0.544)

Output
Volume   13.7 Å³/atom


ii) takes first place; second place is 0.027 eV/atom up.


i) DFT (PBE) results for a relaxed structure of PrSnNO.

Lattice parameters (Å, degrees): 4.292 4.292 7.835 90.00 90.00 90.00
Element x y z (fractional)
Sn (0.250, 0.750, 0.500)
Pr (0.250, 0.250, 0.134)
O (0.250, 0.750, 0.000)
N (0.250, 0.250, 0.631)
Pr (0.750, 0.750, 0.866)
N (0.750, 0.750, 0.369)
O (0.750, 0.250, 0.000)
Sn (0.750, 0.250, 0.500)

Output
Volume   18.0 Å³/atom


ii) DFT (PBE) results for a relaxed structure of PrSnNO.

Lattice parameters (Å, degrees): 5.927 8.511 5.742 90.00 90.00 90.00
Element x y z (fractional)
N (0.111, 0.096, 0.578)
Sn (0.537, 0.881, 0.956)
O (0.247, 0.492, 0.208)
N (0.389, 0.096, 0.078)
O (0.253, 0.492, 0.708)
N (0.889, 0.904, 0.078)
Sn (0.463, 0.119, 0.456)
Sn (0.037, 0.119, 0.956)
O (0.747, 0.508, 0.208)
Sn (0.963, 0.881, 0.456)
Pr (0.491, 0.633, 0.461)
Pr (0.991, 0.367, 0.461)
Pr (0.009, 0.633, 0.961)
O (0.753, 0.508, 0.708)
N (0.611, 0.904, 0.578)
Pr (0.509, 0.367, 0.961)

Output
Volume   18.1 Å³/atom


ii) takes first place; second place is 0.497 eV/atom up.